Here is a geometry-optimized LiS structure from Alexandria via LeMat-Bulk. Energies are from GGA-PBE.

Cell and atoms, written as POSCAR:
```
LiS
1.0
7.999 0.000 0.000
0.000 7.999 0.000
0.000 0.000 4.892
Li S
8 8
Direct
0.315 0.097 0.000
0.685 0.903 0.000
0.185 0.597 0.500
0.403 0.185 0.500
0.903 0.315 0.000
0.815 0.403 0.500
0.597 0.815 0.500
0.097 0.685 0.000
0.369 0.809 0.000
0.309 0.869 0.500
0.869 0.691 0.500
0.809 0.631 0.000
0.191 0.369 0.000
0.691 0.131 0.500
0.131 0.309 0.500
0.631 0.191 0.000
```

## Properties
Total moment: 0.00 μB/atom
DOS at the Fermi energy: 0.68 states/eV/f.u.
Formation energy (no corrections): -641 meV/atom